The following is a DFT calculation (PBE-GGA) of a relaxed ZrTaBr2 crystal.

Values from the calculation:
Formation energy (no corrections) ... 469 meV per atom
Total energy ... -5.4675 eV per atom
Energy above the lowest structure with this stoichiometry ... 1.018 eV per atom
Space group ... P4/mmm
ρ ... 9.26 g cm⁻³

Cell and atoms, written as CIF:
```
data_ZrTaBr2
_cell_length_a 4.5524
_cell_length_b 4.5524
_cell_length_c 3.7395
_cell_angle_alpha 90.00
_cell_angle_beta 90.00
_cell_angle_gamma 90.00
_symmetry_space_group_name_H-M 'P 1'
_symmetry_Int_Tables_number 1
loop_
_symmetry_equiv_pos_as_xyz
'x,y,z'
loop_
_atom_site_label
_atom_site_type_symbol
_atom_site_fract_x
_atom_site_fract_y
_atom_site_fract_z
Zr1 Zr 0.0000 0.0000 0.0000
Ta1 Ta 0.5000 0.5000 0.0000
Br1 Br 0.0000 0.5000 0.5000
Br2 Br 0.5000 0.0000 0.5000
```